The following is a GGA-PBE calculation of a relaxed NaZrSb2I crystal, from Alexandria via LeMat-Bulk.

Unit cell a=5.5328 b=5.5328 c=6.2043 alpha=90.00 beta=90.00 gamma=90.00
Atoms (fractional coordinates):
Na 0.0000 0.0000 0.0000
Zr 0.5000 0.5000 0.5000
Sb 0.0000 0.5000 0.5000
Sb 0.5000 0.0000 0.5000
I 0.5000 0.5000 0.0000

For the calculated density, the calculation gives 4.2 g cm⁻³. The formation energy (no corrections) comes out at -0.223 eV per atom. Its space group is P4/mmm (123). As for the total energy: -20.78 eV/cell. Its total moment is 0.00 μB per formula unit.



The following is a GGA-PBE calculation of a relaxed NaScI4 crystal, from Alexandria via LeMat-Bulk.

Unit cell a=7.4209 b=4.2858 c=7.8852 alpha=90.00 beta=91.00 gamma=90.00
Atoms (fractional coordinates):
Na 0.0000 0.0000 0.0000
Sc 0.0000 0.5000 0.5000
I 0.2262 0.5000 0.7973
I 0.2283 0.0000 0.3589
I 0.7717 0.0000 0.6411
I 0.7738 0.5000 0.2027

For the calculated density, the calculation gives 3.8 g cm⁻³. The formation energy (no corrections) comes out at -1.226 eV per atom. Its space group is P2/m (10). As for the total energy: -21.21 eV/cell. Its total moment is 0.00 μB per formula unit.



The following is a GGA-PBE calculation of a relaxed NaScI3 crystal, from Alexandria via LeMat-Bulk.

Unit cell a=8.1622 b=4.2580 c=10.5729 alpha=90.00 beta=103.81 gamma=90.00
Atoms (fractional coordinates):
Na 0.2108 0.2500 0.4660
Na 0.7892 0.7500 0.5340
Sc 0.3819 0.2500 0.8644
Sc 0.6181 0.7500 0.1356
I 0.0256 0.2500 0.6958
I 0.2596 0.7500 0.0130
I 0.4599 0.7500 0.6755
I 0.5401 0.2500 0.3245
I 0.7404 0.2500 0.9870
I 0.9744 0.7500 0.3042

For the calculated density, the calculation gives 4.2 g cm⁻³. The formation energy (no corrections) comes out at -1.119 eV per atom. Its space group is P2_1/m (11). As for the total energy: -35.79 eV/cell. Its total moment is 0.99 μB per formula unit.